# LiErNi2

Crystalline LiErNi2 at its relaxed geometry (PBE, Alexandria via LeMat-Bulk).

Cell lengths 3.7245, 4.0328, 4.0328 Å; angles 90.00, 90.00, 90.00 degrees
Fractional positions:
Er1 0.5000 0.0000 0.0000
Li1 0.5000 0.5000 0.5000
Ni1 0.0000 0.0000 0.5000
Ni2 0.0000 0.5000 0.0000

## Properties
Energy of formation from the pure elements, kcal/mol of atoms: -4.06
M_tot, μB per cell: 0.00